First-principles (GGA+U) data for MgFe4NiO8 after structural relaxation, as listed in Alexandria via LeMat-Bulk.

Unit cell a=5.9069 b=5.9069 c=5.8870 alpha=60.16 beta=60.16 gamma=60.30
Each line ends with the local moment (μB).
Fractional coordinates of all 14 atoms:
Mg (0.5000, 0.5000, 0.0000)  0.01
Fe (0.8834, 0.8834, 0.8638)  4.27
Fe (0.1166, 0.1166, 0.1362)  4.27
Fe (0.5000, 0.0000, 0.5000)  1.23
Fe (0.0000, 0.5000, 0.5000)  1.23
Ni (0.5000, 0.5000, 0.5000)  1.80
O (0.7485, 0.7485, 0.7308)  0.06
O (0.7507, 0.7507, 0.2715)  0.08
O (0.7569, 0.2758, 0.7345)  0.15
O (0.2758, 0.7569, 0.7345)  0.15
O (0.2515, 0.2515, 0.2692)  0.06
O (0.2493, 0.2493, 0.7285)  0.08
O (0.2431, 0.7242, 0.2655)  0.15
O (0.7242, 0.2431, 0.2655)  0.15

Energy above the most stable polymorph in this dataset in meV/atom: 20
Total DFT energy (no corrections) in eV per cell: -85.76